No. 1
The following is a DFT calculation (GGA-PBE) of crystalline Er3ScSi2C at its relaxed geometry.

**Electronic total energy**: -6.37 eV/atom
**Symmetry**: Immm (71)
**Calculated density**: 6.77 g/cm³
**E_form (uncorrected)**: -435 kJ/mol of formula units

a b c (Å): 4.4063 4.5830 8.1126
angles (deg): 106.41 105.76 90.00
Sites, in units of the cell vectors:
Sc (0.5000, 0.0000, 0.0000)
Er (0.0000, 0.5000, 0.0000)
Er (0.8331, 0.8331, 0.6661)
Er (0.1669, 0.1669, 0.3339)
Si (0.3645, 0.3645, 0.7289)
Si (0.6355, 0.6355, 0.2711)
C (0.0000, 0.0000, 0.0000)

***

No. 2
The following is a DFT calculation (GGA-PBE) of crystalline Al2HPb2 at its relaxed geometry.

**Electronic total energy**: -3.31 eV/atom
**Symmetry**: P4/mbm (127)
**Calculated density**: 7.50 g/cm³

a b c (Å): 6.1345 6.1345 5.5234
angles (deg): 90.00 90.00 90.00
Sites, in units of the cell vectors:
Al (0.6664, 0.1664, 0.0000)
Al (0.8336, 0.6664, 0.0000)
Al (0.3336, 0.8336, 0.0000)
Al (0.1664, 0.3336, 0.0000)
Pb (0.8006, 0.3006, 0.5000)
Pb (0.6994, 0.8006, 0.5000)
Pb (0.3006, 0.1994, 0.5000)
Pb (0.1994, 0.6994, 0.5000)
H (0.5000, 0.5000, 0.0000)
H (0.0000, 0.0000, 0.0000)

***

No. 3
The following is a DFT calculation (GGA-PBE) of crystalline Tb5Sm3As8 at its relaxed geometry.

**E_form**: -1.53 eV per atom
**Electronic total energy**: -6.19 eV/atom
**Symmetry**: R-3m (166)
**Calculated density**: 7.48 g/cm³

a b c (Å): 8.3344 8.3344 8.3350
angles (deg): 60.00 60.00 60.00
Sites, in units of the cell vectors:
As (0.7500, 0.7500, 0.2469)
As (0.2531, 0.7500, 0.2469)
As (0.7500, 0.2531, 0.2469)
As (0.2500, 0.7469, 0.7531)
As (0.7484, 0.7484, 0.7547)
As (0.7469, 0.2500, 0.7531)
As (0.2516, 0.2516, 0.2453)
As (0.2500, 0.2500, 0.7531)
Sm (0.0000, 0.0000, 0.5000)
Sm (0.0000, 0.5000, 0.5000)
Sm (0.5000, 0.0000, 0.5000)
Tb (0.0000, 0.0000, 0.0000)
Tb (0.5000, 0.5000, 0.5000)
Tb (0.0000, 0.5000, 0.0000)
Tb (0.5000, 0.5000, 0.0000)
Tb (0.5000, 0.0000, 0.0000)